# 1
{
  "formula": "NaMgIO2",
  "functional": "GGA-PBE",
  "state": "optimized geometry",
  "dos_at_fermi_per_ev_cell": 5.52,
  "polymorph_energy_ev_per_atom": 0.872,
  "final_energy_ry_per_atom": -0.2048,
  "space_group": "No. 123",
  "lattice": [[4.2748, 0.0000, 0.0000], [0.0000, 4.2748, 0.0000], [0.0000, 0.0000, 5.6358]],
  "species": ["Na", "Mg", "I", "O", "O"],
  "frac_coords": [[0.0000, 0.0000, 0.0000], [0.5000, 0.5000, 0.5000], [0.0000, 0.0000, 0.5000], [0.0000, 0.5000, 0.0000], [0.5000, 0.0000, 0.0000]]
}


# 2
{
  "formula": "Al2CuP",
  "functional": "GGA-PBE",
  "state": "optimized geometry",
  "dos_at_fermi_per_ev_cell": 1.59,
  "formation_enthalpy_0k_kj_per_mol_fu": 29,
  "final_energy_ry_per_atom": -0.3067,
  "space_group": "No. 47",
  "lattice": [[3.4113, 0.0000, 0.0000], [0.0000, 4.1491, 0.0000], [0.0000, 0.0000, 4.1646]],
  "species": ["Al", "Al", "Cu", "P"],
  "frac_coords": [[0.0000, 0.0000, 0.0000], [0.0000, 0.5000, 0.5000], [0.5000, 0.0000, 0.5000], [0.5000, 0.5000, 0.0000]]
}


> Number 2 is which compound?

Al2CuP


Copy entry 1 word for word.
{
  "formula": "NaMgIO2",
  "functional": "GGA-PBE",
  "state": "optimized geometry",
  "dos_at_fermi_per_ev_cell": 5.52,
  "polymorph_energy_ev_per_atom": 0.872,
  "final_energy_ry_per_atom": -0.2048,
  "space_group": "No. 123",
  "lattice": [[4.2748, 0.0000, 0.0000], [0.0000, 4.2748, 0.0000], [0.0000, 0.0000, 5.6358]],
  "species": ["Na", "Mg", "I", "O", "O"],
  "frac_coords": [[0.0000, 0.0000, 0.0000], [0.5000, 0.5000, 0.5000], [0.0000, 0.0000, 0.5000], [0.0000, 0.5000, 0.0000], [0.5000, 0.0000, 0.0000]]
}